Record 1
# Ac2NdPt2I2 PBE-GGA relaxed
data_Ac2NdPt2I2
_space_group_name_H-M_alt 'I 4/m m m'
_space_group_IT_number 139
_space_group_name_Hall '-I 4 2'
_cell_length_a 5.402
_cell_length_b 5.402
_cell_length_c 17.477
_cell_angle_alpha 90.00
_cell_angle_beta 90.00
_cell_angle_gamma 90.00
loop_
_atom_site_label
_atom_site_type_symbol
_atom_site_fract_x
_atom_site_fract_y
_atom_site_fract_z
Ac1 Ac 0.000 0.000 0.108
Nd1 Nd 0.000 0.000 0.500
Pt1 Pt 0.000 0.500 0.000
I1 I 0.000 0.000 0.306
# **ΔE_f (raw)**: -1.031 eV per atom



Record 2
# K2NaHgF PBE-GGA relaxed
data_K2NaHgF
_space_group_name_H-M_alt 'P 4/m m m'
_space_group_IT_number 123
_space_group_name_Hall '-P 4 2'
_cell_length_a 5.450
_cell_length_b 5.450
_cell_length_c 4.991
_cell_angle_alpha 90.00
_cell_angle_beta 90.00
_cell_angle_gamma 90.00
loop_
_atom_site_label
_atom_site_type_symbol
_atom_site_fract_x
_atom_site_fract_y
_atom_site_fract_z
K1 K 0.000 0.500 0.000
Na1 Na 0.000 0.000 0.500
Hg1 Hg 0.500 0.500 0.500
F1 F 0.000 0.000 0.000
# **ΔE_f (raw)**: -1.094 eV per atom



Record 3
# ThTcCl PBE-GGA relaxed
data_ThTcCl
_space_group_name_H-M_alt 'P 1'
_space_group_IT_number 1
_cell_length_a 3.517
_cell_length_b 4.662
_cell_length_c 10.294
_cell_angle_alpha 97.39
_cell_angle_beta 96.97
_cell_angle_gamma 101.82
loop_
_space_group_symop_operation_xyz
'x,y,z'
loop_
_atom_site_label
_atom_site_type_symbol
_atom_site_fract_x
_atom_site_fract_y
_atom_site_fract_z
Th1 Th 0.000 0.000 0.000
Th2 Th 0.440 0.410 0.754
Tc1 Tc 0.525 0.526 0.064
Tc2 Tc 0.900 0.883 0.712
Cl1 Cl 0.103 0.599 0.232
Cl2 Cl 0.792 0.183 0.526
# **ΔE to the lowest computed polymorph**: 0.657 eV per atom
# **ΔE_f (raw)**: -0.338 eV per atom



Record 4
# Sm2HfThN4 PBE-GGA relaxed
data_Sm2HfThN4
_space_group_name_H-M_alt 'P 1 2/m 1'
_space_group_IT_number 10
_cell_length_a 6.075
_cell_length_b 3.493
_cell_length_c 6.089
_cell_angle_alpha 90.00
_cell_angle_beta 108.94
_cell_angle_gamma 90.00
loop_
_space_group_symop_operation_xyz
'x,y,z'
'-x,-y,-z'
'-x,y,-z'
'x,-y,z'
loop_
_atom_site_label
_atom_site_type_symbol
_atom_site_fract_x
_atom_site_fract_y
_atom_site_fract_z
Sm1 Sm 0.000 0.000 0.000
Sm2 Sm 0.000 0.500 0.500
Hf1 Hf 0.500 0.000 0.500
Th1 Th 0.500 0.500 0.000
N1 N 0.272 0.000 0.733
N2 N 0.280 0.500 0.277
# **ΔE_f (raw)**: -1.561 eV per atom



Record 5
# Pr7Tl2In2 PBE-GGA relaxed
data_Pr7Tl2In2
_space_group_name_H-M_alt 'C m m m'
_space_group_IT_number 65
_space_group_name_Hall '-C 2 2'
_cell_length_a 8.159
_cell_length_b 11.586
_cell_length_c 8.170
_cell_angle_alpha 90.00
_cell_angle_beta 90.00
_cell_angle_gamma 90.00
loop_
_atom_site_label
_atom_site_type_symbol
_atom_site_fract_x
_atom_site_fract_y
_atom_site_fract_z
Pr1 Pr 0.000 0.000 0.000
Pr2 Pr 0.000 0.500 0.264
Pr3 Pr 0.250 0.250 0.293
Tl1 Tl 0.000 0.290 0.000
In1 In 0.173 0.000 0.500
# **Calculated formation energy**: -0.087 eV/atom



Record 6
# HgSbRh2 PBE-GGA relaxed
data_HgSbRh2
_space_group_name_H-M_alt 'I m m 2'
_space_group_IT_number 44
_cell_length_a 3.272
_cell_length_b 3.824
_cell_length_c 12.473
_cell_angle_alpha 90.00
_cell_angle_beta 90.00
_cell_angle_gamma 90.00
loop_
_space_group_symop_operation_xyz
'x,y,z'
'-x,-y,z'
'-x,y,z'
'x,-y,z'
'x+1/2,y+1/2,z+1/2'
'-x+1/2,-y+1/2,z+1/2'
'-x+1/2,y+1/2,z+1/2'
'x+1/2,-y+1/2,z+1/2'
loop_
_atom_site_label
_atom_site_type_symbol
_atom_site_fract_x
_atom_site_fract_y
_atom_site_fract_z
Hg1 Hg 0.000 0.000 0.000
Sb1 Sb 0.000 0.500 0.749
Rh1 Rh 0.000 0.000 0.609
Rh2 Rh 0.000 0.500 0.315
# **ΔE to the lowest computed polymorph**: 0.071 eV per atom
# **ΔE_f (raw)**: -0.049 eV per atom



Record 7
# Ta2CrAs PBE-GGA relaxed
data_Ta2CrAs
_space_group_name_H-M_alt 'R -3 m'
_space_group_IT_number 166
_space_group_name_Hall '-R 3 2"'
_cell_length_a 3.2161
_cell_length_b 3.2161
_cell_length_c 22.5599
_cell_angle_alpha 90.00
_cell_angle_beta 90.00
_cell_angle_gamma 120.00
loop_
_atom_site_label
_atom_site_type_symbol
_atom_site_fract_x
_atom_site_fract_y
_atom_site_fract_z
Ta1 Ta 0.0000 0.0000 0.2484
Cr1 Cr 0.0000 0.0000 0.5000
As1 As 0.0000 0.0000 0.0000
# **Calculated formation energy**: 0.177 eV/atom



Record 8
# LiCoCuSb PBE-GGA relaxed
data_LiCoCuSb
_space_group_name_H-M_alt 'F -4 3 m'
_space_group_IT_number 216
_space_group_name_Hall 'F -4 2 3'
_cell_length_a 6.035
_cell_length_b 6.035
_cell_length_c 6.035
_cell_angle_alpha 90.00
_cell_angle_beta 90.00
_cell_angle_gamma 90.00
loop_
_atom_site_label
_atom_site_type_symbol
_atom_site_fract_x
_atom_site_fract_y
_atom_site_fract_z
Li1 Li 0.000 0.000 0.000
Co1 Co 0.000 0.000 0.500
Cu1 Cu 0.250 0.250 0.250
Sb1 Sb 0.250 0.250 0.750
# **ΔE_f (raw)**: -0.111 eV per atom



Record 9
# YTaTc2C PBE-GGA relaxed
data_YTaTc2C
_space_group_name_H-M_alt 'P 4/m m m'
_space_group_IT_number 123
_space_group_name_Hall '-P 4 2'
_cell_length_a 4.612
_cell_length_b 4.612
_cell_length_c 5.654
_cell_angle_alpha 90.00
_cell_angle_beta 90.00
_cell_angle_gamma 90.00
loop_
_atom_site_label
_atom_site_type_symbol
_atom_site_fract_x
_atom_site_fract_y
_atom_site_fract_z
Y1 Y 0.000 0.000 0.000
Ta1 Ta 0.000 0.000 0.500
Tc1 Tc 0.000 0.500 0.500
C1 C 0.500 0.500 0.000
# **Calculated formation energy**: 2.420 eV/atom



Record 10
# Te4Cl3 PBE-GGA relaxed
data_Te4Cl3
_space_group_name_H-M_alt 'P 6/m m m'
_space_group_IT_number 191
_space_group_name_Hall '-P 6 2'
_cell_length_a 6.5030
_cell_length_b 6.5030
_cell_length_c 5.3433
_cell_angle_alpha 90.00
_cell_angle_beta 90.00
_cell_angle_gamma 120.00
loop_
_atom_site_label
_atom_site_type_symbol
_atom_site_fract_x
_atom_site_fract_y
_atom_site_fract_z
Te1 Te 0.0000 0.0000 0.2441
Te2 Te 0.3333 0.6667 0.0000
Cl1 Cl 0.0000 0.5000 0.5000
# **ΔE_f (raw)**: 0.469 eV per atom



Record 11
# Na2PdSe4 PBE-GGA relaxed
data_Na2PdSe4
_space_group_name_H-M_alt 'P 1'
_space_group_IT_number 1
_cell_length_a 6.881
_cell_length_b 7.780
_cell_length_c 7.830
_cell_angle_alpha 92.02
_cell_angle_beta 104.81
_cell_angle_gamma 111.48
loop_
_space_group_symop_operation_xyz
'x,y,z'
loop_
_atom_site_label
_atom_site_type_symbol
_atom_site_fract_x
_atom_site_fract_y
_atom_site_fract_z
Na1 Na 0.000 0.000 0.000
Na2 Na 0.030 0.532 0.691
Na3 Na 0.574 0.168 0.822
Na4 Na 0.653 0.730 0.362
Pd1 Pd 0.199 0.247 0.510
Pd2 Pd 0.418 0.466 0.009
Se1 Se 0.063 0.397 0.071
Se2 Se 0.103 0.945 0.644
Se3 Se 0.197 0.530 0.380
Se4 Se 0.459 0.199 0.158
Se5 Se 0.499 0.751 0.853
Se6 Se 0.560 0.331 0.463
Se7 Se 0.767 0.598 0.929
Se8 Se 0.841 0.104 0.584
# **ΔE_f (raw)**: -0.518 eV per atom



Record 12
# HoNi2H7 PBE-GGA relaxed
data_HoNi2H7
_space_group_name_H-M_alt 'C m m m'
_space_group_IT_number 65
_space_group_name_Hall '-C 2 2'
_cell_length_a 4.873
_cell_length_b 8.398
_cell_length_c 3.480
_cell_angle_alpha 90.00
_cell_angle_beta 90.00
_cell_angle_gamma 90.00
loop_
_atom_site_label
_atom_site_type_symbol
_atom_site_fract_x
_atom_site_fract_y
_atom_site_fract_z
Ho1 Ho 0.000 0.000 0.000
Ni1 Ni 0.000 0.308 0.500
H1 H 0.000 0.314 0.000
H2 H 0.000 0.500 0.500
H3 H 0.181 0.138 0.500
# **E**: -82.6 eV per cell



Record 13
# LiTb2Sm PBE-GGA relaxed
data_LiTb2Sm
_space_group_name_H-M_alt 'R -3 m'
_space_group_IT_number 166
_space_group_name_Hall '-R 3 2"'
_cell_length_a 3.4850
_cell_length_b 3.4850
_cell_length_c 36.7682
_cell_angle_alpha 90.00
_cell_angle_beta 90.00
_cell_angle_gamma 120.00
loop_
_atom_site_label
_atom_site_type_symbol
_atom_site_fract_x
_atom_site_fract_y
_atom_site_fract_z
Li1 Li 0.0000 0.0000 0.0000
Tb1 Tb 0.0000 0.0000 0.0883
Sm1 Sm 0.0000 0.0000 0.5000
# **Calculated formation energy**: 0.191 eV/atom
# **ΔE to the lowest computed polymorph**: 0.118 eV per atom